CaCd6Pb2: optimized geometry, PBE-GGA.

Results
formation energy	-0.077	eV/atom
SG	C2/m
N(E_F)	0.338	states/eV/atom
size of the total moment	0.00	Bohr magnetons per cell

Cell: 4.8874 6.7309 8.3750 Å, 66.31 81.67 68.87°
With the nearest neighbours (Å) after each atom.
Sites, in units of the cell vectors:
Cd  0.1733  0.4897  0.3308  4 Cd 3.11-3.13, 3 Pb 3.18-3.28, 1 Ca 3.34
Cd  0.8267  0.1795  0.3308  4 Cd 3.11-3.13, 3 Pb 3.18-3.28, 1 Ca 3.34
Cd  0.6846  0.6304  0.0000  4 Cd 2.94-3.11
Cd  0.8267  0.5103  0.6692  4 Cd 3.11-3.13, 3 Pb 3.18-3.28, 1 Ca 3.34
Cd  0.3154  0.3696  0.0000  4 Cd 2.94-3.11
Cd  0.1733  0.8205  0.6692  4 Cd 3.11-3.13, 3 Pb 3.18-3.28, 1 Ca 3.34
Pb  0.5000  0.8463  0.3074  8 Cd 3.18-3.31, 2 Ca 3.40
Pb  0.5000  0.1537  0.6926  8 Cd 3.18-3.31, 2 Ca 3.40
Ca  0.0000  0.0000  0.0000  8 Cd 3.34-3.37, 4 Pb 3.40


CaCd3Pb3: optimized geometry, PBE-GGA.

Results
formation energy	0.300	eV/atom
SG	Pm-3n
N(E_F)	0.767	states/eV/atom
size of the total moment	0.00	Bohr magnetons per cell

Cell: 8.1439 8.1439 8.1439 Å, 90.00 90.00 90.00°
With the nearest neighbours (Å) after each atom.
Sites, in units of the cell vectors:
Pb  0.7500  0.0000  0.5000  4 Cd 2.88
Pb  0.2500  0.0000  0.5000  4 Cd 2.88
Pb  0.5000  0.2500  0.0000  4 Cd 2.88
Pb  0.5000  0.7500  0.0000  4 Cd 2.88
Pb  0.0000  0.5000  0.2500  4 Cd 2.88
Pb  0.0000  0.5000  0.7500  4 Cd 2.88
Cd  0.2500  0.5000  0.0000  4 Pb 2.88
Cd  0.7500  0.5000  0.0000  4 Pb 2.88
Cd  0.0000  0.2500  0.5000  4 Pb 2.88
Cd  0.0000  0.7500  0.5000  4 Pb 2.88
Cd  0.5000  0.0000  0.7500  4 Pb 2.88
Cd  0.5000  0.0000  0.2500  4 Pb 2.88
Ca  0.0000  0.0000  0.0000  12 Cd 4.55, 12 Pb 4.55
Ca  0.5000  0.5000  0.5000  12 Cd 4.55, 12 Pb 4.55


Ca2Cd6Pb: optimized geometry, PBE-GGA.

Results
formation energy	-0.239	eV/atom
SG	R-3m
N(E_F)	0.509	states/eV/atom
size of the total moment	0.00	Bohr magnetons per cell

Cell: 6.1575 6.1559 6.1559 Å, 92.37 92.38 92.38°
With the nearest neighbours (Å) after each atom.
Sites, in units of the cell vectors:
Cd  0.8309  0.1691  0.5001  3 Cd 2.94-3.01
Cd  0.8309  0.5001  0.1691  3 Cd 2.94-3.01
Cd  0.5000  0.1692  0.8308  3 Cd 2.94-3.01
Cd  0.1691  0.4999  0.8309  3 Cd 2.94-3.01
Cd  0.5000  0.8308  0.1692  3 Cd 2.94-3.01
Cd  0.1691  0.8309  0.4999  3 Cd 2.94-3.01
Ca  0.6742  0.6742  0.6742  1 Pb 3.33, 12 Cd 3.39-3.44, 1 Ca 3.56
Ca  0.3258  0.3258  0.3258  1 Pb 3.33, 12 Cd 3.39-3.44, 1 Ca 3.56
Pb  0.0000  0.0000  0.0000  2 Ca 3.33, 12 Cd 3.42-3.43


Ca4CdPb: optimized geometry, PBE-GGA.

Results
formation energy	0.161	eV/atom
SG	F-43m
N(E_F)	1.031	states/eV/atom
size of the total moment	0.00	Bohr magnetons per cell

Cell: 6.7466 6.7466 6.7466 Å, 60.00 60.00 60.00°
With the nearest neighbours (Å) after each atom.
Sites, in units of the cell vectors:
Ca  0.8767  0.3744  0.3744  6 Ca 3.36-3.39
Ca  0.3744  0.3744  0.8767  6 Ca 3.36-3.39
Ca  0.3744  0.8767  0.3744  6 Ca 3.36-3.39
Ca  0.3744  0.3744  0.3744  6 Ca 3.36-3.39
Cd  0.7500  0.7500  0.7500  12 Ca 3.96, 4 Pb 4.13
Pb  0.0000  0.0000  0.0000  12 Ca 3.95, 4 Cd 4.13


Ca3CdPb: optimized geometry, PBE-GGA.

Results
formation energy	-0.051	eV/atom
SG	Pm-3m
N(E_F)	0.799	states/eV/atom
size of the total moment	0.00	Bohr magnetons per cell

Cell: 6.0050 6.0050 6.0050 Å, 90.00 90.00 90.00°
With the nearest neighbours (Å) after each atom.
Sites, in units of the cell vectors:
Cd  0.5000  0.5000  0.5000  12 Ca 4.25
Pb  0.0000  0.0000  0.0000  6 Ca 3.00
Ca  0.5000  0.0000  0.0000  2 Pb 3.00
Ca  0.0000  0.5000  0.0000  2 Pb 3.00
Ca  0.0000  0.0000  0.5000  2 Pb 3.00


CaCdPb3: optimized geometry, PBE-GGA.

Results
formation energy	0.184	eV/atom
SG	Pm-3m
N(E_F)	0.717	states/eV/atom
size of the total moment	0.00	Bohr magnetons per cell

Cell: 5.6937 5.6937 5.6937 Å, 90.00 90.00 90.00°
With the nearest neighbours (Å) after each atom.
Sites, in units of the cell vectors:
Cd  0.0000  0.0000  0.0000  6 Pb 2.85
Pb  0.5000  0.0000  0.0000  2 Cd 2.85
Pb  0.0000  0.0000  0.5000  2 Cd 2.85
Pb  0.0000  0.5000  0.0000  2 Cd 2.85
Ca  0.5000  0.5000  0.5000  12 Pb 4.03


Ca2CdPb: optimized geometry, PBE-GGA.

Results
formation energy	-0.375	eV/atom
SG	Cm
N(E_F)	0.518	states/eV/atom
size of the total moment	0.00	Bohr magnetons per cell

Cell: 6.3631 6.3631 5.6788 Å, 74.50 74.50 33.08°
With the nearest neighbours (Å) after each atom.
Sites, in units of the cell vectors:
Pb  0.2282  0.2282  0.2110  2 Cd 3.28, 7 Ca 3.36-3.48, 2 Pb 3.62
Ca  0.9820  0.9820  0.0562  4 Cd 3.34-3.45, 3 Pb 3.36-3.48, 3 Ca 3.62-3.74
Ca  0.7720  0.7720  0.6868  4 Pb 3.40-3.42, 3 Cd 3.40-3.41, 4 Ca 3.62-3.78
Cd  0.5178  0.5178  0.5460  2 Pb 3.28, 7 Ca 3.34-3.45, 2 Cd 3.62


Ca2CdPb: optimized geometry, PBE-GGA.

Results
formation energy	-0.015	eV/atom
SG	I-42d
N(E_F)	1.108	states/eV/atom
size of the total moment	0.00	Bohr magnetons per cell

Cell: 4.9764 4.9764 11.5203 Å, 77.53 77.53 90.00°
With the nearest neighbours (Å) after each atom.
Sites, in units of the cell vectors:
Pb  0.7500  0.2500  0.5000  4 Ca 3.25, 4 Cd 3.52
Pb  0.0000  0.0000  0.0000  4 Ca 3.25, 4 Cd 3.52
Ca  0.3750  0.3731  0.7500  2 Pb 3.25, 2 Cd 3.26, 4 Ca 3.51-3.53
Ca  0.1231  0.6250  0.2500  2 Pb 3.25, 2 Cd 3.26, 4 Ca 3.51-3.53
Ca  0.6269  0.1250  0.2500  2 Pb 3.25, 2 Cd 3.26, 4 Ca 3.51-3.53
Ca  0.8750  0.8769  0.7500  2 Pb 3.25, 2 Cd 3.26, 4 Ca 3.51-3.53
Cd  0.5000  0.5000  0.0000  4 Ca 3.26, 4 Pb 3.52
Cd  0.2500  0.7500  0.5000  4 Ca 3.26, 4 Pb 3.52


CaCd3Pb3: optimized geometry, PBE-GGA.

Results
formation energy	-0.042	eV/atom
SG	R-3
N(E_F)	0.534	states/eV/atom
size of the total moment	0.00	Bohr magnetons per cell

Cell: 8.5117 8.5117 8.3177 Å, 59.23 59.23 60.00°
With the nearest neighbours (Å) after each atom.
Sites, in units of the cell vectors:
Cd  0.4791  0.2982  0.3457  4 Pb 3.11-3.23, 2 Cd 3.26, 1 Ca 3.44
Cd  0.8769  0.4791  0.3457  4 Pb 3.11-3.23, 2 Cd 3.26, 1 Ca 3.44
Cd  0.2982  0.8769  0.3457  4 Pb 3.11-3.23, 2 Cd 3.26, 1 Ca 3.44
Cd  0.1231  0.5209  0.6543  4 Pb 3.11-3.23, 2 Cd 3.26, 1 Ca 3.44
Cd  0.5209  0.7018  0.6543  4 Pb 3.11-3.23, 2 Cd 3.26, 1 Ca 3.44
Cd  0.7018  0.1231  0.6543  4 Pb 3.11-3.23, 2 Cd 3.26, 1 Ca 3.44
Pb  0.6840  0.9433  0.2005  4 Cd 3.11-3.23, 2 Pb 3.40
Pb  0.3160  0.0567  0.7995  4 Cd 3.11-3.23, 2 Pb 3.40
Pb  0.8279  0.3160  0.7995  4 Cd 3.11-3.23, 2 Pb 3.40
Pb  0.0567  0.8279  0.7995  4 Cd 3.11-3.23, 2 Pb 3.40
Pb  0.1721  0.6840  0.2005  4 Cd 3.11-3.23, 2 Pb 3.40
Pb  0.9433  0.1721  0.2005  4 Cd 3.11-3.23, 2 Pb 3.40
Ca  0.3320  0.3320  0.0039  6 Cd 3.44-3.49, 6 Pb 3.49-3.61
Ca  0.6680  0.6680  0.9961  6 Cd 3.44-3.49, 6 Pb 3.49-3.61


CaCdPb2: optimized geometry, PBE-GGA.

Results
formation energy	-0.206	eV/atom
SG	P4/mmm
N(E_F)	0.464	states/eV/atom
size of the total moment	0.00	Bohr magnetons per cell

Cell: 4.0261 4.0261 7.1750 Å, 90.00 90.00 90.04°
With the nearest neighbours (Å) after each atom.
Sites, in units of the cell vectors:
Cd  0.5000  0.5000  0.7500  8 Pb 3.28, 2 Ca 3.59
Ca  0.5000  0.5000  0.2500  8 Pb 3.46, 2 Cd 3.59
Pb  0.0000  0.0000  0.9768  1 Pb 3.25, 4 Cd 3.28, 4 Ca 3.46
Pb  0.0000  0.0000  0.5232  1 Pb 3.25, 4 Cd 3.28, 4 Ca 3.46


CaCdPb2: optimized geometry, PBE-GGA.

Results
formation energy	-0.302	eV/atom
SG	Pmmm
N(E_F)	0.464	states/eV/atom
size of the total moment	0.00	Bohr magnetons per cell

Cell: 4.9290 4.9176 4.6574 Å, 90.00 90.00 90.00°
With the nearest neighbours (Å) after each atom.
Sites, in units of the cell vectors:
Cd  0.0000  0.5000  0.5000  8 Pb 3.39, 4 Ca 3.48
Pb  0.5000  0.5000  0.0000  4 Ca 3.39, 4 Cd 3.39, 4 Pb 3.48
Pb  0.0000  0.0000  0.0000  4 Cd 3.39, 4 Ca 3.39, 4 Pb 3.48
Ca  0.5000  0.0000  0.5000  8 Pb 3.39, 4 Cd 3.48


Ca2CdPb: optimized geometry, PBE-GGA.

Results
formation energy	-0.478	eV/atom
SG	Cmmm
N(E_F)	0.503	states/eV/atom
size of the total moment	0.00	Bohr magnetons per cell

Cell: 5.5287 5.5287 3.8252 Å, 90.02 90.02 90.05°
With the nearest neighbours (Å) after each atom.
Sites, in units of the cell vectors:
Ca  0.0000  0.0000  0.0000  4 Cd 3.36, 4 Pb 3.36
Ca  0.5000  0.5000  0.0000  4 Pb 3.36, 4 Cd 3.36
Cd  0.5000  0.0000  0.5000  8 Ca 3.36
Pb  0.0000  0.5000  0.5000  8 Ca 3.36


> Which value of size of the total moment does entry 10 give?

0.00 Bohr magnetons per cell


> Among the records above, which one has the highest formation energy?

number 2


Copy entry 8 word for word.
Ca2CdPb: optimized geometry, PBE-GGA.

Results
formation energy	-0.015	eV/atom
SG	I-42d
N(E_F)	1.108	states/eV/atom
size of the total moment	0.00	Bohr magnetons per cell

Cell: 4.9764 4.9764 11.5203 Å, 77.53 77.53 90.00°
With the nearest neighbours (Å) after each atom.
Sites, in units of the cell vectors:
Pb  0.7500  0.2500  0.5000  4 Ca 3.25, 4 Cd 3.52
Pb  0.0000  0.0000  0.0000  4 Ca 3.25, 4 Cd 3.52
Ca  0.3750  0.3731  0.7500  2 Pb 3.25, 2 Cd 3.26, 4 Ca 3.51-3.53
Ca  0.1231  0.6250  0.2500  2 Pb 3.25, 2 Cd 3.26, 4 Ca 3.51-3.53
Ca  0.6269  0.1250  0.2500  2 Pb 3.25, 2 Cd 3.26, 4 Ca 3.51-3.53
Ca  0.8750  0.8769  0.7500  2 Pb 3.25, 2 Cd 3.26, 4 Ca 3.51-3.53
Cd  0.5000  0.5000  0.0000  4 Ca 3.26, 4 Pb 3.52
Cd  0.2500  0.7500  0.5000  4 Ca 3.26, 4 Pb 3.52